Compound: Pm2Er5In4
Source: Alexandria via LeMat-Bulk
Functional: PBE
Structure: optimized geometry

density of states at the Fermi level	1.180	states/eV per atom
total energy	-83.855	eV for the cell shown
total moment	0.0798	μB/atom
ΔH_f (0 K)	11.8	kJ/mol of atoms

a = 3.418 Å, b = 7.366 Å, c = 28.264 Å
α = 90.00°, β = 90.00°, γ = 90.00°
Space group Immm (No. 71)
Symmetry-distinct sites (fractional):
Pm: 0.000 0.000 0.214 (multiplicity 4)
Er: 0.000 0.235 0.107 (multiplicity 8)
Er: 0.000 0.500 0.500 (multiplicity 2)
In: 0.000 0.000 0.325 (multiplicity 4)
In: 0.000 0.322 0.000 (multiplicity 4)

Compound: PmEr3In
Source: Alexandria via LeMat-Bulk
Functional: PBE
Structure: optimized geometry

density of states at the Fermi level	1.487	states/eV per atom
total energy	-41.601	eV for the cell shown
total moment	0.0003	μB/atom
ΔH_f (0 K)	7.3	kJ/mol of atoms
polymorph energy (0 for the lowest one)	24.1	kJ/mol of atoms

a = 7.9913 Å, b = 7.9913 Å, c = 5.9481 Å
α = 90.00°, β = 90.00°, γ = 120.00°
Space group P6_3/mmc (No. 194)
Symmetry-distinct sites (fractional):
Pm: 0.3333 0.6667 0.2500 (multiplicity 2)
Er: 0.1938 0.3875 0.7500 (multiplicity 6)
In: 0.0000 0.0000 0.0000 (multiplicity 2)

Compound: Pm9ErIn2
Source: Alexandria via LeMat-Bulk
Functional: PBE
Structure: optimized geometry

density of states at the Fermi level	1.240	states/eV per atom
total energy	-54.878	eV for the cell shown
total moment	0.0000	μB/atom
ΔH_f (0 K)	-16.7	kJ/mol of atoms

a = 4.977 Å, b = 4.977 Å, c = 15.223 Å
α = 90.00°, β = 90.00°, γ = 90.00°
Space group P4/mmm (No. 123)
Symmetry-distinct sites (fractional):
Pm: 0.000 0.000 0.000 (multiplicity 1)
Pm: 0.000 0.000 0.336 (multiplicity 2)
Pm: 0.000 0.500 0.172 (multiplicity 4)
Pm: 0.000 0.500 0.500 (multiplicity 2)
Er: 0.500 0.500 0.000 (multiplicity 1)
In: 0.500 0.500 0.339 (multiplicity 2)

Compound: PmErIn2
Source: Alexandria via LeMat-Bulk
Functional: PBE
Structure: optimized geometry

density of states at the Fermi level	0.559	states/eV per atom
total energy	-48.128	eV for the cell shown
total moment	0.0000	μB/atom
ΔH_f (0 K)	-30.2	kJ/mol of atoms

a = 3.7191 Å, b = 3.7191 Å, c = 29.3481 Å
α = 90.00°, β = 90.00°, γ = 120.00°
Space group R-3m (No. 166, hexagonal axes)
Symmetry-distinct sites (fractional):
Pm: 0.0000 0.0000 0.0000 (multiplicity 3)
Er: 0.0000 0.0000 0.5000 (multiplicity 3)
In: 0.0000 0.0000 0.2478 (multiplicity 6)

Compound: Pm5ErIn3
Source: Alexandria via LeMat-Bulk
Functional: PBE
Structure: optimized geometry

density of states at the Fermi level	1.300	states/eV per atom
total energy	-79.321	eV for the cell shown
total moment	0.0830	μB/atom
ΔH_f (0 K)	-33.5	kJ/mol of atoms

a = 9.5249 Å, b = 9.5249 Å, c = 6.8575 Å
α = 90.00°, β = 90.00°, γ = 120.00°
Space group P6_3/mcm (No. 193)
Symmetry-distinct sites (fractional):
Pm: 0.0000 0.3372 0.2500 (multiplicity 6)
Pm: 0.3333 0.6667 0.0000 (multiplicity 4)
Er: 0.0000 0.0000 0.0000 (multiplicity 2)
In: 0.0000 0.3259 0.7500 (multiplicity 6)

Compound: Pm4Er5In
Source: Alexandria via LeMat-Bulk
Functional: PBE
Structure: optimized geometry

density of states at the Fermi level	1.252	states/eV per atom
total energy	-45.387	eV for the cell shown
total moment	0.0000	μB/atom
ΔH_f (0 K)	-8.0	kJ/mol of atoms
polymorph energy (0 for the lowest one)	0.0	kJ/mol of atoms

a = 3.586 Å, b = 3.586 Å, c = 24.321 Å
α = 90.00°, β = 90.00°, γ = 90.00°
Space group P4/mmm (No. 123)
Symmetry-distinct sites (fractional):
Pm: 0.000 0.000 0.103 (multiplicity 2)
Pm: 0.000 0.000 0.312 (multiplicity 2)
Er: 0.500 0.500 0.000 (multiplicity 1)
Er: 0.500 0.500 0.207 (multiplicity 2)
Er: 0.500 0.500 0.415 (multiplicity 2)
In: 0.000 0.000 0.500 (multiplicity 1)

Compound: PmEr2In
Source: Alexandria via LeMat-Bulk
Functional: PBE
Structure: optimized geometry

density of states at the Fermi level	1.369	states/eV per atom
total energy	-51.456	eV for the cell shown
total moment	0.0000	μB/atom
ΔH_f (0 K)	-13.0	kJ/mol of atoms
polymorph energy (0 for the lowest one)	12.3	kJ/mol of atoms

a = 3.5753 Å, b = 3.5753 Å, c = 32.7802 Å
α = 90.00°, β = 90.00°, γ = 120.00°
Space group R3m (No. 160, hexagonal axes)
Symmetry-distinct sites (fractional):
Pm: 0.0000 0.0000 0.0000 (multiplicity 3)
Er: 0.0000 0.0000 0.2436 (multiplicity 3)
Er: 0.0000 0.0000 0.4228 (multiplicity 3)
In: 0.0000 0.0000 0.8335 (multiplicity 3)

Compound: Pm4Er3In4
Source: Alexandria via LeMat-Bulk
Functional: PBE
Structure: optimized geometry

density of states at the Fermi level	0.944	states/eV per atom
total energy	-94.027	eV for the cell shown
total moment	0.0000	μB/atom
ΔH_f (0 K)	-29.5	kJ/mol of atoms

a = 3.602 Å, b = 9.417 Å, c = 19.348 Å
α = 90.00°, β = 90.00°, γ = 90.00°
Space group Immm (No. 71)
Symmetry-distinct sites (fractional):
Pm: 0.000 0.177 0.161 (multiplicity 8)
Er: 0.000 0.000 0.406 (multiplicity 4)
Er: 0.000 0.500 0.500 (multiplicity 2)
In: 0.000 0.281 0.000 (multiplicity 4)
In: 0.000 0.500 0.225 (multiplicity 4)

Compound: Pm7Er4In
Source: Alexandria via LeMat-Bulk
Functional: PBE
Structure: optimized geometry

density of states at the Fermi level	1.254	states/eV per atom
total energy	-54.407	eV for the cell shown
total moment	0.0000	μB/atom
ΔH_f (0 K)	-1.3	kJ/mol of atoms

a = 6.533 Å, b = 6.749 Å, c = 9.123 Å
α = 86.30°, β = 76.68°, γ = 82.50°
Space group P-1 (No. 2)
Symmetry-distinct sites (fractional):
Pm: 0.000 0.000 0.000 (multiplicity 1)
Pm: 0.153 0.599 0.319 (multiplicity 2)
Pm: 0.200 0.093 0.392 (multiplicity 2)
Pm: 0.469 0.255 0.050 (multiplicity 2)
Er: 0.311 0.696 0.646 (multiplicity 2)
Er: 0.360 0.194 0.719 (multiplicity 2)
In: 0.000 0.500 0.000 (multiplicity 1)

Compound: Pm3Er2In2
Source: Alexandria via LeMat-Bulk
Functional: PBE
Structure: optimized geometry

density of states at the Fermi level	1.212	states/eV per atom
total energy	-59.386	eV for the cell shown
total moment	0.0000	μB/atom
ΔH_f (0 K)	-11.6	kJ/mol of atoms
polymorph energy (0 for the lowest one)	4.2	kJ/mol of atoms

a = 16.870 Å, b = 3.501 Å, c = 8.005 Å
α = 90.00°, β = 117.69°, γ = 90.00°
Space group C2/m (No. 12)
Symmetry-distinct sites (fractional):
Pm: 0.000 0.000 0.000 (multiplicity 2)
Pm: 0.210 0.000 0.132 (multiplicity 4)
Er: 0.130 0.000 0.470 (multiplicity 4)
In: 0.067 0.500 0.732 (multiplicity 4)

Compound: Pm6Er2In
Source: Alexandria via LeMat-Bulk
Functional: PBE
Structure: optimized geometry

density of states at the Fermi level	1.156	states/eV per atom
total energy	-162.951	eV for the cell shown
total moment	0.0000	μB/atom
ΔH_f (0 K)	-4.0	kJ/mol of atoms
polymorph energy (0 for the lowest one)	0.0	kJ/mol of atoms

a = 20.838 Å, b = 9.258 Å, c = 6.274 Å
α = 90.00°, β = 107.47°, γ = 90.00°
Space group C2/c (No. 15)
Symmetry-distinct sites (fractional):
Pm: 0.079 0.072 0.438 (multiplicity 8)
Pm: 0.079 0.427 0.222 (multiplicity 8)
Pm: 0.169 0.250 0.919 (multiplicity 8)
Er: 0.250 0.078 0.429 (multiplicity 8)
In: 0.000 0.251 0.750 (multiplicity 4)

Compound: Pm6Er8In
Source: Alexandria via LeMat-Bulk
Functional: PBE
Structure: optimized geometry

density of states at the Fermi level	1.194	states/eV per atom
total energy	-66.671	eV for the cell shown
total moment	0.0000	μB/atom
ΔH_f (0 K)	6.9	kJ/mol of atoms

a = 9.4077 Å, b = 9.4077 Å, c = 6.3469 Å
α = 90.00°, β = 90.00°, γ = 120.00°
Space group P-3 (No. 147)
Symmetry-distinct sites (fractional):
Pm: 0.0899 0.6397 0.1841 (multiplicity 6)
Er: 0.0388 0.7753 0.6877 (multiplicity 6)
Er: 0.3333 0.6667 0.6721 (multiplicity 2)
In: 0.0000 0.0000 0.0000 (multiplicity 1)